Record 1
Below is crystalline ZrCu2Pd at its relaxed geometry, with properties calculated at the PBE level.

Cell: 4.627 5.523 4.811 Å, 90.00 90.00 90.00°
Fractional coordinates of all 8 atoms:
Zr: 0.250 0.250 0.150
Zr: 0.750 0.750 0.850
Cu: 0.250 0.507 0.651
Cu: 0.250 0.993 0.651
Cu: 0.750 0.007 0.349
Cu: 0.750 0.493 0.349
Pd: 0.250 0.750 0.173
Pd: 0.750 0.250 0.827

Summary:
volume: 15.4 Å³ per atom
DOS(E_F): 0.576 states/eV/atom
energy of formation from the pure elements: -8.445 kcal/mol of atoms



Record 2
Below is crystalline Zr2CuPd3 at its relaxed geometry, with properties calculated at the PBE level.

Cell: 3.653 4.115 14.008 Å, 90.00 90.00 90.00°
Fractional coordinates of all 12 atoms:
Zr: 0.000 0.000 0.167
Zr: 0.000 0.000 0.833
Zr: 0.500 0.500 0.333
Zr: 0.500 0.500 0.667
Cu: 0.000 0.500 0.000
Cu: 0.500 0.000 0.500
Pd: 0.000 0.000 0.364
Pd: 0.000 0.000 0.636
Pd: 0.000 0.500 0.500
Pd: 0.500 0.000 0.000
Pd: 0.500 0.500 0.136
Pd: 0.500 0.500 0.864

Summary:
volume: 17.5 Å³ per atom
DOS(E_F): 0.546 states/eV/atom
distance to the lowest polymorph of the same formula: 0 meV/atom
energy of formation from the pure elements: -12.059 kcal/mol of atoms



Record 3
Below is crystalline Zr3Cu2Pd at its relaxed geometry, with properties calculated at the PBE level.

Cell: 3.371 3.371 9.513 Å, 90.00 90.00 90.00°
Fractional coordinates of all 6 atoms:
Zr: 0.000 0.000 0.000
Zr: 0.000 0.000 0.327
Zr: 0.000 0.000 0.673
Cu: 0.500 0.500 0.160
Cu: 0.500 0.500 0.840
Pd: 0.500 0.500 0.500

Summary:
volume: 18.0 Å³ per atom
DOS(E_F): 1.081 states/eV/atom
distance to the lowest polymorph of the same formula: 0 meV/atom
energy of formation from the pure elements: -6.355 kcal/mol of atoms



Record 4
Below is crystalline ZrCu23Pd6 at its relaxed geometry, with properties calculated at the PBE level.

Cell: 8.260 8.260 8.260 Å, 60.00 60.00 60.00°
Fractional coordinates of all 30 atoms:
Zr: 0.000 0.000 0.000
Cu: 0.000 0.000 0.500
Cu: 0.000 0.500 0.000
Cu: 0.000 0.500 0.500
Cu: 0.117 0.628 0.628
Cu: 0.149 0.149 0.149
Cu: 0.149 0.149 0.554
Cu: 0.149 0.554 0.149
Cu: 0.372 0.372 0.372
Cu: 0.372 0.372 0.883
Cu: 0.372 0.883 0.372
Cu: 0.446 0.851 0.851
Cu: 0.500 0.000 0.000
Cu: 0.500 0.000 0.500
Cu: 0.500 0.500 0.000
Cu: 0.500 0.500 0.500
Cu: 0.554 0.149 0.149
Cu: 0.628 0.117 0.628
Cu: 0.628 0.628 0.117
Cu: 0.628 0.628 0.628
Cu: 0.851 0.446 0.851
Cu: 0.851 0.851 0.446
Cu: 0.851 0.851 0.851
Cu: 0.883 0.372 0.372
Pd: 0.240 0.240 0.760
Pd: 0.240 0.760 0.240
Pd: 0.240 0.760 0.760
Pd: 0.760 0.240 0.240
Pd: 0.760 0.240 0.760
Pd: 0.760 0.760 0.240

Summary:
volume: 13.3 Å³ per atom
DOS(E_F): 0.559 states/eV/atom
energy of formation from the pure elements: -1.385 kcal/mol of atoms



Record 5
Below is crystalline Zr2CuPd3 at its relaxed geometry, with properties calculated at the PBE level.

Cell: 7.562 7.562 4.735 Å, 102.36 102.36 54.18°
Fractional coordinates of all 12 atoms:
Zr: 0.075 0.666 0.686
Zr: 0.334 0.925 0.814
Zr: 0.666 0.075 0.186
Zr: 0.925 0.334 0.314
Cu: 0.475 0.525 0.250
Cu: 0.525 0.475 0.750
Pd: 0.109 0.891 0.250
Pd: 0.199 0.413 0.152
Pd: 0.413 0.199 0.652
Pd: 0.587 0.801 0.348
Pd: 0.801 0.587 0.848
Pd: 0.891 0.109 0.750

Summary:
volume: 17.8 Å³ per atom
DOS(E_F): 0.626 states/eV/atom
distance to the lowest polymorph of the same formula: 56 meV/atom
energy of formation from the pure elements: -10.775 kcal/mol of atoms



Record 6
Below is crystalline ZrCuPd4 at its relaxed geometry, with properties calculated at the PBE level.

Cell: 5.037 5.558 6.951 Å, 90.00 93.81 90.00°
Fractional coordinates of all 12 atoms:
Zr: 0.224 0.250 0.127
Zr: 0.776 0.750 0.873
Cu: 0.042 0.750 0.482
Cu: 0.958 0.250 0.518
Pd: 0.248 0.000 0.786
Pd: 0.248 0.500 0.786
Pd: 0.252 0.750 0.140
Pd: 0.453 0.250 0.481
Pd: 0.547 0.750 0.519
Pd: 0.748 0.250 0.860
Pd: 0.752 0.000 0.214
Pd: 0.752 0.500 0.214

Summary:
volume: 16.2 Å³ per atom
DOS(E_F): 0.488 states/eV/atom
distance to the lowest polymorph of the same formula: 0 meV/atom
energy of formation from the pure elements: -9.975 kcal/mol of atoms